--- one ---
Below is an optimized crystal structure of Li2PmAu, with properties calculated at the PBE level.

Results
spin magnetization	0.0	μB per cell

Cell: 3.389 3.389 7.153 Å, 90.00 90.00 90.00°
Space group P4/mmm (No. 123)
One atom of each set of equivalent atoms:
Li 0.000 0.000 0.177 x2
Pm 0.500 0.500 0.500 x1
Au 0.500 0.500 0.000 x1


--- two ---
Below is an optimized crystal structure of Li2PmAu, with properties calculated at the PBE level.

Results
spin magnetization	0.0	μB per cell

Cell: 6.749 6.749 6.749 Å, 90.00 90.00 90.00°
Space group Fm-3m (No. 225)
One atom of each set of equivalent atoms:
Li 0.250 0.250 0.250 x8
Pm 0.000 0.000 0.000 x4
Au 0.000 0.000 0.500 x4


Which of them is the most stable? Correct choice: two.


--- one ---
Below is an optimized crystal structure of Li2PmAu, with properties calculated at the PBE level.

Results
spin magnetization	0.0	μB per cell

Cell: 4.5519 4.5519 14.4504 Å, 90.00 90.00 120.00°
Space group R3m (No. 160, hexagonal axes)
One atom of each set of equivalent atoms:
Li 0.0000 0.0000 0.0000 x3
Li 0.0000 0.0000 0.2807 x3
Pm 0.0000 0.0000 0.7928 x3
Au 0.0000 0.0000 0.5806 x3


--- two ---
Below is an optimized crystal structure of Li2PmAu, with properties calculated at the PBE level.

Results
spin magnetization	0.0	μB per cell

Cell: 4.135 10.397 8.218 Å, 90.00 90.00 90.00°
Space group Cmcm (No. 63)
One atom of each set of equivalent atoms:
Li 0.000 0.158 0.053 x8
Pm 0.000 0.442 0.250 x4
Au 0.000 0.269 0.750 x4


Which of them is the most stable? Correct choice: two.


--- one ---
Below is an optimized crystal structure of Li4Pm3Au4, with properties calculated at the PBE level.

Results
spin magnetization	0.0	μB per cell

Cell: 3.824 4.321 14.667 Å, 81.71 82.54 89.97°
Space group P-1 (No. 2)
One atom of each set of equivalent atoms:
Li 0.094 0.094 0.311 x2
Li 0.248 0.747 0.004 x2
Pm 0.356 0.357 0.788 x2
Pm 0.500 0.000 0.500 x1
Au 0.051 0.551 0.398 x2
Au 0.185 0.184 0.129 x2


--- two ---
Below is an optimized crystal structure of Li4Pm3Au4, with properties calculated at the PBE level.

Results
spin magnetization	0.0	μB per cell

Cell: 4.148 7.865 14.498 Å, 90.00 90.00 90.00°
Space group Immm (No. 71)
One atom of each set of equivalent atoms:
Li 0.000 0.193 0.177 x8
Pm 0.000 0.000 0.378 x4
Pm 0.000 0.500 0.500 x2
Au 0.000 0.304 0.000 x4
Au 0.000 0.500 0.280 x4


Which of them is the most stable? Correct choice: two.